MgTl2In PBEsol optimized geometry; volume = 205.6 Å³ per cell; density of states at the Fermi level = 3.9 states/eV/cell; raw total energy = -20.028 eV/cell; ΔH_f (0 K) = -13 meV per atom
1.0
3.642 0.000 0.000
0.000 5.287 0.000
0.000 0.000 10.676
Mg Tl In
2 4 2
Cartesian
0.000 0.000 0.000
1.821 2.644 5.338
0.000 0.000 5.398
0.000 2.644 7.927
1.821 0.000 2.589
1.821 2.644 0.060
0.000 2.644 2.808
1.821 0.000 8.146